[1]
Compound: K2Bi2Pt
Source: Alexandria
Functional: PBE-GGA
Structure: optimized geometry

Computed properties:
space group	I4_1/amd
VASP energy	-3.396	eV/atom

Cell: 4.9387 4.9387 15.9299 Å, 98.92 98.92 90.00°
Fractional positions:
1 Pt 0.5000 0.5000 0.0000
2 Pt 0.2500 0.7500 0.5000
3 Bi 0.0373 0.5373 0.0745
4 Bi 0.7127 0.7127 0.4255
5 Bi 0.4627 0.9627 0.9255
6 Bi 0.2873 0.2873 0.5745
7 K 0.1720 0.1720 0.3441
8 K 0.8280 0.8280 0.6559
9 K 0.9220 0.4220 0.8441
10 K 0.5780 0.0780 0.1559

[2]
Compound: K2Bi2Pt3
Source: Alexandria
Functional: PBE-GGA
Structure: optimized geometry

Computed properties:
polymorph energy (0 for the lowest one)	0.000	eV/atom
space group	C2/m
VASP energy	-4.285	eV/atom

Cell: 4.3739 6.9416 7.0392 Å, 89.06 108.10 90.00°
Fractional positions:
1 Pt 0.2034 0.9430 0.4067
2 Pt 0.7966 0.0570 0.5933
3 Pt 0.0000 0.0000 0.0000
4 K 0.8626 0.6175 0.7253
5 K 0.1374 0.3825 0.2747
6 Bi 0.4062 0.1893 0.8125
7 Bi 0.5938 0.8107 0.1875

[3]
Compound: K3Bi4Pt
Source: Alexandria
Functional: PBE-GGA
Structure: optimized geometry

Computed properties:
space group	Pmmn
VASP energy	-3.357	eV/atom

Cell: 6.6444 6.8916 13.0166 Å, 90.00 90.00 90.00°
Fractional positions:
1 Bi 0.3519 0.5000 0.1302
2 Bi 0.6481 0.0000 0.6302
3 Bi 0.3519 0.5000 0.8698
4 Bi 0.0055 0.7509 0.0000
5 Bi 0.0055 0.2491 0.0000
6 Bi 0.6481 0.0000 0.3698
7 Bi 0.9945 0.2509 0.5000
8 Bi 0.9945 0.7491 0.5000
9 Pt 0.6761 0.5000 0.0000
10 Pt 0.3239 0.0000 0.5000
11 K 0.5211 0.0000 0.0000
12 K 0.4789 0.5000 0.5000
13 K 0.8413 0.5000 0.7510
14 K 0.1587 0.0000 0.7490
15 K 0.8413 0.5000 0.2490
16 K 0.1587 0.0000 0.2510

[4]
Compound: KBiPt
Source: Alexandria
Functional: PBE-GGA
Structure: optimized geometry

Computed properties:
polymorph energy (0 for the lowest one)	0.143	eV/atom
space group	P3m1
VASP energy	-3.895	eV/atom

Cell: 5.3341 4.6348 4.6348 Å, 120.00 90.00 90.00°
Fractional positions:
1 Bi 0.1671 0.3333 0.6667
2 Pt 0.1660 0.0000 0.0000
3 K 0.6670 0.6667 0.3333

[5]
Compound: KBi3Pt
Source: Alexandria
Functional: PBE-GGA
Structure: optimized geometry

Computed properties:
polymorph energy (0 for the lowest one)	0.019	eV/atom
space group	Imma
VASP energy	-3.892	eV/atom

Cell: 6.5207 7.5856 7.5856 Å, 80.74 64.54 64.54°
Fractional positions:
1 Bi 0.2500 0.1103 0.3897
2 Bi 0.1791 0.3209 0.8209
3 Bi 0.8209 0.6791 0.1791
4 Bi 0.6791 0.3209 0.8209
5 Bi 0.7500 0.8897 0.6103
6 Bi 0.3209 0.6791 0.1791
7 Pt 0.0000 0.5000 0.5000
8 Pt 0.5000 0.0000 0.0000
9 K 0.2500 0.7686 0.7314
10 K 0.7500 0.2314 0.2686

[6]
Compound: KBi4Pt
Source: Alexandria
Functional: PBE-GGA
Structure: optimized geometry

Computed properties:
space group	C2/m
VASP energy	-3.931	eV/atom

Cell: 7.9403 7.1762 8.0980 Å, 116.30 97.22 90.00°
Fractional positions:
1 Pt 0.2856 0.4881 0.9762
2 Pt 0.7144 0.5119 0.0238
3 Bi 0.5288 0.8640 0.2185
4 Bi 0.0000 0.7342 0.0000
5 Bi 0.4712 0.6455 0.7815
6 Bi 0.2406 0.6814 0.3628
7 Bi 0.0000 0.2658 0.0000
8 Bi 0.4712 0.1360 0.7815
9 Bi 0.7594 0.3186 0.6372
10 Bi 0.5288 0.3545 0.2185
11 K 0.8461 0.7704 0.5409
12 K 0.1539 0.2296 0.4591

[7]
Compound: KBi3Pt2
Source: Alexandria
Functional: PBE-GGA
Structure: optimized geometry

Computed properties:
space group	R-3m
VASP energy	-4.381	eV/atom

Cell: 8.5429 8.5429 7.6779 Å, 56.20 56.20 60.00°
Fractional positions:
1 Pt 0.0000 0.0000 0.0000
2 Pt 0.5000 0.5000 0.0000
3 Pt 0.5000 0.0000 0.0000
4 Pt 0.0000 0.5000 0.0000
5 Bi 0.2448 0.7261 0.7843
6 Bi 0.7552 0.2739 0.2157
7 Bi 0.2739 0.7552 0.2157
8 Bi 0.7552 0.7552 0.2157
9 Bi 0.7261 0.2448 0.7843
10 Bi 0.2448 0.2448 0.7843
11 K 0.7819 0.7819 0.6544
12 K 0.2181 0.2181 0.3456

[8]
Compound: K2Bi5Pt4
Source: Alexandria
Functional: PBE-GGA
Structure: optimized geometry

Computed properties:
space group	C2/m
VASP energy	-4.267	eV/atom

Cell: 6.8254 7.6072 8.2574 Å, 74.34 65.59 63.35°
Fractional positions:
1 K 0.7147 0.1997 0.3709
2 K 0.2853 0.8003 0.6291
3 Bi 0.1684 0.2494 0.9145
4 Bi 0.6677 0.2494 0.9145
5 Bi 0.0000 0.5000 0.5000
6 Bi 0.8316 0.7506 0.0855
7 Bi 0.3323 0.7506 0.0855
8 Pt 0.7828 0.5992 0.8352
9 Pt 0.3856 0.0070 0.2218
10 Pt 0.2172 0.4008 0.1648
11 Pt 0.6144 0.9930 0.7782

no.,ΔH_f (0 K) (eV per atom)
1,-0.196
2,-0.274
3,-0.250
4,-0.222
5,-0.136
6,-0.154
7,-0.244
8,-0.107